Version one
The following is a DFT calculation (PBE) of crystalline CsMn2RuI at its relaxed geometry.

abc: 4.993 4.993 6.625
angles: 90.00 90.00 90.00
Element x y z (fractional)
1 Cs 0.000 0.000 0.000
2 Mn 0.000 0.500 0.500
3 Mn 0.500 0.000 0.500
4 Ru 0.000 0.000 0.500
5 I 0.500 0.500 0.000

Values from the calculation:
symmetry: No. 123
magnetization: 8.88 μB per formula unit

---

Version two
The following is a DFT calculation (PBE) of crystalline CsMn2RuI at its relaxed geometry.

abc: 5.052 5.052 5.705
angles: 90.00 90.00 90.00
Element x y z (fractional)
1 Cs 0.000 0.000 0.000
2 Mn 0.000 0.500 0.500
3 Mn 0.500 0.000 0.500
4 Ru 0.500 0.500 0.500
5 I 0.500 0.500 0.000

Values from the calculation:
symmetry: No. 123
magnetization: 9.43 μB per formula unit

---

It comes down to version two, which is 196 meV/atom more stable than the next structure.

---

Version one
The following is a DFT calculation (PBE) of crystalline Cs2Mo2I at its relaxed geometry.

abc: 12.855 12.855 12.855
angles: 163.51 163.51 23.40
Element x y z (fractional)
1 Cs 0.106 0.106 0.000
2 Cs 0.894 0.894 0.000
3 Mo 0.250 0.750 0.500
4 Mo 0.750 0.250 0.500
5 I 0.500 0.500 0.000

Values from the calculation:
symmetry: No. 139
magnetization: 0.00 μB per formula unit

---

Version two
The following is a DFT calculation (PBE) of crystalline Cs2Mo2I at its relaxed geometry.

abc: 11.110 11.110 3.840
angles: 90.00 90.00 90.00
Element x y z (fractional)
1 Cs 0.213 0.287 0.000
2 Cs 0.287 0.787 0.000
3 Cs 0.713 0.213 0.000
4 Cs 0.787 0.713 0.000
5 Mo 0.064 0.564 0.500
6 Mo 0.436 0.064 0.500
7 Mo 0.564 0.936 0.500
8 Mo 0.936 0.436 0.500
9 I 0.000 0.000 0.000
10 I 0.500 0.500 0.000

Values from the calculation:
symmetry: No. 127
magnetization: 0.00 μB per formula unit

---

It comes down to version one, which is 502 meV/atom more stable than the next structure.

---

Version one
The following is a DFT calculation (PBE) of crystalline CsMoI2N at its relaxed geometry.

abc: 7.158 7.158 4.815
angles: 90.00 90.00 90.00
Element x y z (fractional)
1 Cs 0.000 0.000 0.000
2 Mo 0.500 0.500 0.500
3 I 0.000 0.500 0.000
4 I 0.500 0.000 0.000
5 N 0.000 0.000 0.500

Values from the calculation:
symmetry: No. 123
magnetization: 2.75 μB per formula unit

---

Version two
The following is a DFT calculation (PBE) of crystalline CsMoI2N at its relaxed geometry.

abc: 6.182 6.182 3.940
angles: 90.00 90.00 90.00
Element x y z (fractional)
1 Cs 0.000 0.000 0.000
2 Mo 0.500 0.500 0.500
3 I 0.000 0.500 0.500
4 I 0.500 0.000 0.500
5 N 0.500 0.500 0.000

Values from the calculation:
symmetry: No. 123
magnetization: 2.00 μB per formula unit

---

It comes down to version two, which is 1976 meV/atom more stable than the next structure.